# 1
# LaGdAsO | the Open Quantum Materials Database | PBE | optimized geometry
# * crystal system: orthorhombic
# * total magnetization: 0.01 μB/cell
# * distance to the lowest polymorph of the same formula: 0 meV per atom
data_LaGdAsO
_chemical_formula_sum 'La2 Gd2 As2 O2'
_symmetry_space_group_name_H-M 'P 1'
_symmetry_Int_Tables_number 1
_cell_length_a 4.3743
_cell_length_b 7.7005
_cell_length_c 6.2434
_cell_angle_alpha 90.00
_cell_angle_beta 90.00
_cell_angle_gamma 90.00
loop_
_symmetry_equiv_pos_as_xyz
'x,y,z'
loop_
_atom_site_label
_atom_site_type_symbol
_atom_site_fract_x
_atom_site_fract_y
_atom_site_fract_z
_atom_site_occupancy
La1 La 0.0000 0.2050 0.0000 1
La2 La 0.0000 0.7950 0.5000 1
Gd1 Gd 0.5000 0.3918 0.5796 1
Gd2 Gd 0.5000 0.6082 0.0796 1
As1 As 0.0000 0.1790 0.4920 1
As2 As 0.0000 0.8210 0.9920 1
O1 O 0.5000 0.3371 0.9342 1
O2 O 0.5000 0.6629 0.4342 1


# 2
# LaGdAsO | the Open Quantum Materials Database | PBE | optimized geometry
# * crystal system: tetragonal
# * total magnetization: 0.01 μB/cell
# * distance to the lowest polymorph of the same formula: 21 meV per atom
data_LaGdAsO
_chemical_formula_sum 'La2 Gd2 As2 O2'
_symmetry_space_group_name_H-M 'P 1'
_symmetry_Int_Tables_number 1
_cell_length_a 4.4687
_cell_length_b 4.4687
_cell_length_c 9.1997
_cell_angle_alpha 90.00
_cell_angle_beta 90.00
_cell_angle_gamma 90.00
loop_
_symmetry_equiv_pos_as_xyz
'x,y,z'
loop_
_atom_site_label
_atom_site_type_symbol
_atom_site_fract_x
_atom_site_fract_y
_atom_site_fract_z
_atom_site_occupancy
La1 La 0.2500 0.2500 0.1100 1
La2 La 0.7500 0.7500 0.8900 1
Gd1 Gd 0.2500 0.7500 0.5000 1
Gd2 Gd 0.7500 0.2500 0.5000 1
As1 As 0.2500 0.2500 0.6967 1
As2 As 0.7500 0.7500 0.3033 1
O1 O 0.2500 0.7500 0.0000 1
O2 O 0.7500 0.2500 0.0000 1


# 3
# LaGdAsO | the Open Quantum Materials Database | PBE | optimized geometry
# * crystal system: orthorhombic
# * total magnetization: 1.11 μB/cell
# * distance to the lowest polymorph of the same formula: 59 meV per atom
data_LaGdAsO
_chemical_formula_sum 'La2 Gd2 As2 O2'
_symmetry_space_group_name_H-M 'P 1'
_symmetry_Int_Tables_number 1
_cell_length_a 4.2060
_cell_length_b 8.1810
_cell_length_c 5.7981
_cell_angle_alpha 90.00
_cell_angle_beta 90.00
_cell_angle_gamma 90.00
loop_
_symmetry_equiv_pos_as_xyz
'x,y,z'
loop_
_atom_site_label
_atom_site_type_symbol
_atom_site_fract_x
_atom_site_fract_y
_atom_site_fract_z
_atom_site_occupancy
La1 La 0.0000 0.1164 0.0000 1
La2 La 0.0000 0.8836 0.5000 1
Gd1 Gd 0.5000 0.2986 0.4616 1
Gd2 Gd 0.5000 0.7014 0.9616 1
As1 As 0.5000 0.3550 0.9581 1
As2 As 0.5000 0.6450 0.4581 1
O1 O 0.0000 0.1785 0.4216 1
O2 O 0.0000 0.8215 0.9216 1


# 4
# LaGdZn2As2O2 | the Open Quantum Materials Database | PBE | optimized geometry
# * crystal system: tetragonal
# * total magnetization: 0.00 μB/cell
# * final energy: -5.770 eV per atom
data_LaGdZn2As2O2
_chemical_formula_sum 'La1 Gd1 Zn2 As2 O2'
_symmetry_space_group_name_H-M 'P 1'
_symmetry_Int_Tables_number 1
_cell_length_a 4.0318
_cell_length_b 4.0318
_cell_length_c 8.9784
_cell_angle_alpha 90.00
_cell_angle_beta 90.00
_cell_angle_gamma 90.00
loop_
_symmetry_equiv_pos_as_xyz
'x,y,z'
loop_
_atom_site_label
_atom_site_type_symbol
_atom_site_fract_x
_atom_site_fract_y
_atom_site_fract_z
_atom_site_occupancy
La1 La 0.0000 0.0000 0.0000 1
Gd1 Gd 0.5000 0.5000 0.7401 1
Zn1 Zn 0.0000 0.5000 0.3674 1
Zn2 Zn 0.5000 0.0000 0.3674 1
As1 As 0.0000 0.0000 0.5442 1
As2 As 0.5000 0.5000 0.1894 1
O1 O 0.0000 0.5000 0.8597 1
O2 O 0.5000 0.0000 0.8597 1


# 5
# LaGdAs2Pd2 | the Open Quantum Materials Database | PBE | optimized geometry
# * crystal system: trigonal
# * total magnetization: 0.00 μB/cell
# * final energy: -6.098 eV per atom
data_LaGdAs2Pd2
_chemical_formula_sum 'La1 Gd1 As2 Pd2'
_symmetry_space_group_name_H-M 'P 1'
_symmetry_Int_Tables_number 1
_cell_length_a 4.3707
_cell_length_b 4.3707
_cell_length_c 7.7926
_cell_angle_alpha 90.00
_cell_angle_beta 90.00
_cell_angle_gamma 120.00
loop_
_symmetry_equiv_pos_as_xyz
'x,y,z'
loop_
_atom_site_label
_atom_site_type_symbol
_atom_site_fract_x
_atom_site_fract_y
_atom_site_fract_z
_atom_site_occupancy
La1 La 0.0000 0.0000 0.0000 1
Gd1 Gd 0.0000 0.0000 0.5000 1
As1 As 0.3333 0.6667 0.2577 1
As2 As 0.6667 0.3333 0.7423 1
Pd1 Pd 0.3333 0.6667 0.7359 1
Pd2 Pd 0.6667 0.3333 0.2641 1


# 6
# LaGdAs2Pt2 | the Open Quantum Materials Database | PBE | optimized geometry
# * crystal system: hexagonal
# * total magnetization: 0.01 μB/cell
# * distance to the lowest polymorph of the same formula: 0 meV per atom
data_LaGdAs2Pt2
_chemical_formula_sum 'La2 Gd2 As4 Pt4'
_symmetry_space_group_name_H-M 'P 1'
_symmetry_Int_Tables_number 1
_cell_length_a 4.3536
_cell_length_b 4.3536
_cell_length_c 15.8178
_cell_angle_alpha 90.00
_cell_angle_beta 90.00
_cell_angle_gamma 120.00
loop_
_symmetry_equiv_pos_as_xyz
'x,y,z'
loop_
_atom_site_label
_atom_site_type_symbol
_atom_site_fract_x
_atom_site_fract_y
_atom_site_fract_z
_atom_site_occupancy
La1 La 0.0000 0.0000 0.0000 1
La2 La 0.0000 0.0000 0.5000 1
Gd1 Gd 0.0000 0.0000 0.2500 1
Gd2 Gd 0.0000 0.0000 0.7500 1
As1 As 0.3333 0.6667 0.1212 1
As2 As 0.3333 0.6667 0.3788 1
As3 As 0.6667 0.3333 0.6212 1
As4 As 0.6667 0.3333 0.8788 1
Pt1 Pt 0.3333 0.6667 0.6410 1
Pt2 Pt 0.3333 0.6667 0.8590 1
Pt3 Pt 0.6667 0.3333 0.1410 1
Pt4 Pt 0.6667 0.3333 0.3590 1


# 7
# LiGd4As2 | the Open Quantum Materials Database | PBE | optimized geometry
# * crystal system: tetragonal
# * total magnetization: 1.89 μB/cell
# * final energy: -4.561 eV per atom
data_LiGd4As2
_chemical_formula_sum 'Li1 Gd4 As2'
_symmetry_space_group_name_H-M 'P 1'
_symmetry_Int_Tables_number 1
_cell_length_a 5.5894
_cell_length_b 5.5894
_cell_length_c 6.6979
_cell_angle_alpha 90.00
_cell_angle_beta 90.00
_cell_angle_gamma 90.00
loop_
_symmetry_equiv_pos_as_xyz
'x,y,z'
loop_
_atom_site_label
_atom_site_type_symbol
_atom_site_fract_x
_atom_site_fract_y
_atom_site_fract_z
_atom_site_occupancy
Li1 Li 0.0000 0.0000 0.0000 1
Gd1 Gd 0.2699 0.2699 0.3076 1
Gd2 Gd 0.2699 0.7301 0.6924 1
Gd3 Gd 0.7301 0.2699 0.6924 1
Gd4 Gd 0.7301 0.7301 0.3076 1
As1 As 0.0000 0.5000 0.0000 1
As2 As 0.5000 0.0000 0.0000 1


# 8
# LiGdAs2 | the Open Quantum Materials Database | PBE | optimized geometry
# * crystal system: tetragonal
# * total magnetization: 0.01 μB/cell
# * final energy: -4.978 eV per atom
data_LiGdAs2
_chemical_formula_sum 'Li2 Gd2 As4'
_symmetry_space_group_name_H-M 'P 1'
_symmetry_Int_Tables_number 1
_cell_length_a 3.9027
_cell_length_b 3.9027
_cell_length_c 10.4955
_cell_angle_alpha 90.00
_cell_angle_beta 90.00
_cell_angle_gamma 90.00
loop_
_symmetry_equiv_pos_as_xyz
'x,y,z'
loop_
_atom_site_label
_atom_site_type_symbol
_atom_site_fract_x
_atom_site_fract_y
_atom_site_fract_z
_atom_site_occupancy
Li1 Li 0.2500 0.7500 0.0000 1
Li2 Li 0.7500 0.2500 0.0000 1
Gd1 Gd 0.2500 0.2500 0.2720 1
Gd2 Gd 0.7500 0.7500 0.7280 1
As1 As 0.2500 0.2500 0.8364 1
As2 As 0.2500 0.7500 0.5000 1
As3 As 0.7500 0.2500 0.5000 1
As4 As 0.7500 0.7500 0.1636 1